No. 1
Compound: NaOsRh
Source: Alexandria
Functional: PBE
Structure: relaxed

Properties
For the total energy, the calculation gives -18.5 eV per formula unit. The calculation puts the formation energy from the elements at 0.47 eV/atom. For the magnetization, the calculation gives 0.00 Bohr magnetons per cell.

Unit cell a=9.7161 b=2.7310 c=7.8632 alpha=90.00 beta=115.83 gamma=90.00
Space group Cm (No. 8)
Unique sites:
Na 0.0000 0.0000 0.0000
Na 0.1323 0.5000 0.3271
Os 0.1565 0.5000 0.7701
Os 0.3331 0.0000 0.6664
Rh 0.2956 0.0000 0.1061
Rh 0.4442 0.5000 0.4671

***

No. 2
Compound: NaOsRh
Source: Alexandria
Functional: PBE
Structure: relaxed

Properties
For the total energy, the calculation gives -15.9 eV per formula unit. The calculation puts the formation energy from the elements at 1.33 eV/atom. For the magnetization, the calculation gives 3.93 Bohr magnetons per cell.

Unit cell a=7.7082 b=5.4599 c=4.3809 alpha=90.00 beta=90.00 gamma=90.00
Space group Pnma (No. 62)
Unique sites:
Na 0.1699 0.2500 0.0014
Os 0.1608 0.7500 0.0006
Rh 0.0000 0.0000 0.5000

***

No. 3
Compound: Na2OsRh
Source: Alexandria
Functional: PBE
Structure: relaxed

Properties
For the total energy, the calculation gives -15.7 eV per formula unit. The calculation puts the formation energy from the elements at 1.38 eV/atom. For the magnetization, the calculation gives 11.43 Bohr magnetons per cell.

Unit cell a=6.5602 b=6.5602 c=6.5602 alpha=90.00 beta=90.00 gamma=90.00
Space group Fm-3m (No. 225)
Unique sites:
Na 0.2500 0.2500 0.2500
Os 0.0000 0.0000 0.0000
Rh 0.0000 0.0000 0.5000

***

No. 4
Compound: NaOsRh
Source: Alexandria
Functional: PBE
Structure: relaxed

Properties
For the total energy, the calculation gives -18.0 eV per formula unit. The calculation puts the formation energy from the elements at 0.63 eV/atom. For the magnetization, the calculation gives 0.00 Bohr magnetons per cell.

Unit cell a=4.4686 b=4.4686 c=5.9252 alpha=90.00 beta=90.00 gamma=120.00
Space group P-6m2 (No. 187)
Unique sites:
Na 0.0000 0.0000 0.0000
Na 0.0000 0.0000 0.5000
Os 0.3333 0.6667 0.1932
Rh 0.6667 0.3333 0.2313

***

No. 5
Compound: NaOsRh
Source: Alexandria
Functional: PBE
Structure: relaxed

Properties
For the total energy, the calculation gives -17.8 eV per formula unit. The calculation puts the formation energy from the elements at 0.70 eV/atom. For the magnetization, the calculation gives 0.00 Bohr magnetons per cell.

Unit cell a=4.5793 b=4.5793 c=2.6083 alpha=90.00 beta=90.00 gamma=120.00
Space group P-6m2 (No. 187)
Unique sites:
Na 0.0000 0.0000 0.0000
Os 0.6667 0.3333 0.5000
Rh 0.3333 0.6667 0.5000

***

No. 6
Compound: NaOsRh
Source: Alexandria
Functional: PBE
Structure: relaxed

Properties
For the total energy, the calculation gives -18.4 eV per formula unit. The calculation puts the formation energy from the elements at 0.50 eV/atom. For the magnetization, the calculation gives 0.00 Bohr magnetons per cell.

Unit cell a=4.8112 b=5.7103 c=7.7253 alpha=90.00 beta=90.00 gamma=90.00
Space group I2_12_12_1 (No. 24)
Unique sites:
Na 0.0000 0.2500 0.1252
Os 0.2500 0.1883 0.5000
Rh 0.0245 0.0000 0.7500

***

No. 7
Compound: NaOsRh
Source: Alexandria
Functional: PBE
Structure: relaxed

Properties
For the total energy, the calculation gives -17.5 eV per formula unit. The calculation puts the formation energy from the elements at 0.79 eV/atom. For the magnetization, the calculation gives 0.00 Bohr magnetons per cell.

Unit cell a=4.4600 b=4.4600 c=5.6681 alpha=90.00 beta=90.00 gamma=120.00
Space group P6_3mc (No. 186)
Unique sites:
Na 0.0000 0.0000 0.0000
Os 0.3333 0.6667 0.2205
Rh 0.3333 0.6667 0.7812

***

No. 8
Compound: NaOsRh
Source: Alexandria
Functional: PBE
Structure: relaxed

Properties
For the total energy, the calculation gives -18.3 eV per formula unit. The calculation puts the formation energy from the elements at 0.54 eV/atom. For the magnetization, the calculation gives 0.00 Bohr magnetons per cell.

Unit cell a=7.4756 b=4.2074 c=6.9094 alpha=90.00 beta=90.00 gamma=90.00
Space group Pnma (No. 62)
Unique sites:
Na 0.0046 0.2500 0.1500
Os 0.1595 0.2500 0.5928
Rh 0.1660 0.7500 0.3998

***

Number 1: density of states at the Fermi level 11.8 states/eV/cell, calculated volume 15.6 Å³ per atom. Number 2: density of states at the Fermi level 15.6 states/eV/cell, calculated volume 15.4 Å³ per atom. Number 3: density of states at the Fermi level 29.2 states/eV/cell, calculated volume 17.6 Å³ per atom. Number 4: density of states at the Fermi level 3.6 states/eV/cell, calculated volume 17.1 Å³ per atom. Number 5: density of states at the Fermi level 2.9 states/eV/cell, calculated volume 15.8 Å³ per atom. Number 6: density of states at the Fermi level 9.0 states/eV/cell, calculated volume 17.7 Å³ per atom. Number 7: density of states at the Fermi level 5.3 states/eV/cell, calculated volume 16.3 Å³ per atom. Number 8: density of states at the Fermi level 7.5 states/eV/cell, calculated volume 18.1 Å³ per atom.